<P>
Cd2HAu2: relaxed, PBE.

The structure belongs to space group P4/mbm (No. 127); the cell edges are 5.6701, 5.6701 and 5.3868 Å and the angles 90.00°, 90.00° and 90.00°. Symmetry generates all atoms from Cd at (0.1775, 0.3225, 0.0000), H at (0.0000, 0.0000, 0.5000) and Au at (0.1789, 0.6789, 0.5000).

The calculated volume comes out at 17.32 Å³/atom.

<Q>
Cd2HAu2: relaxed, PBE.

The structure belongs to space group P4/mbm (No. 127); the cell edges are 5.7894, 5.7894 and 5.1662 Å and the angles 90.00°, 90.00° and 90.00°. Symmetry generates all atoms from Cd at (0.1749, 0.3251, 0.0000), H at (0.0000, 0.0000, 0.0000) and Au at (0.1682, 0.6682, 0.5000).

The calculated volume comes out at 17.32 Å³/atom.

It comes down to <P>, which is 59 meV/atom more stable than the next structure.

<P>
CdHAu2: relaxed, PBE.

The structure belongs to space group Fm-3m (No. 225); the cell edges are 6.4624, 6.4624 and 6.4624 Å and the angles 90.00°, 90.00° and 90.00°. Symmetry generates all atoms from Cd at (0.0000, 0.0000, 0.0000), H at (0.0000, 0.0000, 0.5000) and Au at (0.2500, 0.2500, 0.2500).

The calculated volume comes out at 16.87 Å³/atom.

<Q>
CdHAu2: relaxed, PBE.

The structure belongs to space group R-3m (No. 166, hexagonal axes); the cell edges are 2.8998, 2.8998 and 26.5771 Å and the angles 90.00°, 90.00° and 120.00°. Symmetry generates all atoms from Cd at (0.0000, 0.0000, 0.0000), H at (0.0000, 0.0000, 0.5000) and Au at (0.0000, 0.0000, 0.1117).

The calculated volume comes out at 16.13 Å³/atom.

It comes down to <Q>, which is 245 meV/atom more stable than the next structure.

<P>
CdHAu3: relaxed, PBE.

The structure belongs to space group Pm-3m (No. 221); the cell edges are 4.2763, 4.2763 and 4.2763 Å and the angles 90.00°, 90.00° and 90.00°. Symmetry generates all atoms from Cd at (0.0000, 0.0000, 0.0000), H at (0.5000, 0.5000, 0.5000) and Au at (0.0000, 0.5000, 0.5000).

The calculated volume comes out at 15.64 Å³/atom.

<Q>
CdHAu3: relaxed, PBE.

The structure belongs to space group Pm-3m (No. 221); the cell edges are 5.2730, 5.2730 and 5.2730 Å and the angles 90.00°, 90.00° and 90.00°. Symmetry generates all atoms from Cd at (0.0000, 0.0000, 0.0000), H at (0.5000, 0.5000, 0.5000) and Au at (0.0000, 0.0000, 0.5000).

The calculated volume comes out at 29.32 Å³/atom.

It comes down to <P>, which is 958 meV/atom more stable than the next structure.

<P>
CdH2Au2: relaxed, PBE.

The structure belongs to space group P4/mbm (No. 127); the cell edges are 6.0769, 6.0769 and 3.7569 Å and the angles 90.00°, 90.00° and 90.00°. Symmetry generates all atoms from Cd at (0.0000, 0.0000, 0.0000), H at (0.1640, 0.3360, 0.0000) and Au at (0.1699, 0.3301, 0.5000).

The calculated volume comes out at 13.87 Å³/atom.

<Q>
CdH2Au2: relaxed, PBE.

The structure belongs to space group I4/mmm (No. 139); the cell edges are 3.7726, 3.7726 and 9.2014 Å and the angles 90.00°, 90.00° and 90.00°. Symmetry generates all atoms from Cd at (0.0000, 0.0000, 0.0000), H at (0.0000, 0.5000, 0.2500) and Au at (0.0000, 0.0000, 0.3444).

The calculated volume comes out at 13.10 Å³/atom.

It comes down to <P>, which is 153 meV/atom more stable than the next structure.

<P>
K2CdHAu: relaxed, PBE.

The structure belongs to space group P4/mmm (No. 123); the cell edges are 6.1041, 6.1041 and 3.7223 Å and the angles 90.00°, 90.00° and 90.00°. Symmetry generates all atoms from K at (0.0000, 0.5000, 0.0000), Cd at (0.0000, 0.0000, 0.5000), H at (0.5000, 0.5000, 0.0000) and Au at (0.5000, 0.5000, 0.5000).

The calculated volume comes out at 27.74 Å³/atom.

<Q>
K2CdHAu: relaxed, PBE.

The structure belongs to space group P4/mmm (No. 123); the cell edges are 5.3306, 5.3306 and 4.6134 Å and the angles 90.00°, 90.00° and 90.00°. Symmetry generates all atoms from K at (0.0000, 0.5000, 0.0000), Cd at (0.0000, 0.0000, 0.5000), H at (0.0000, 0.0000, 0.0000) and Au at (0.5000, 0.5000, 0.5000).

The calculated volume comes out at 26.22 Å³/atom.

It comes down to <P>, which is 28 meV/atom more stable than the next structure.

<P>
La2CdHAu: relaxed, PBE.

The structure belongs to space group P4/mmm (No. 123); the cell edges are 5.0350, 5.0350 and 4.4626 Å and the angles 90.00°, 90.00° and 90.00°. Symmetry generates all atoms from La at (0.0000, 0.5000, 0.0000), Cd at (0.0000, 0.0000, 0.5000), H at (0.0000, 0.0000, 0.0000) and Au at (0.5000, 0.5000, 0.5000).

The calculated volume comes out at 22.63 Å³/atom.

<Q>
La2CdHAu: relaxed, PBE.

The structure belongs to space group P4/mmm (No. 123); the cell edges are 5.2606, 5.2606 and 4.1698 Å and the angles 90.00°, 90.00° and 90.00°. Symmetry generates all atoms from La at (0.0000, 0.5000, 0.0000), Cd at (0.0000, 0.0000, 0.5000), H at (0.5000, 0.5000, 0.0000) and Au at (0.5000, 0.5000, 0.5000).

The calculated volume comes out at 23.08 Å³/atom.

It comes down to <P>, which is 6 meV/atom more stable than the next structure.

<P>
Li2CdHAu: relaxed, PBE.

The structure belongs to space group P4/mmm (No. 123); the cell edges are 4.0768, 4.0768 and 4.2470 Å and the angles 90.00°, 90.00° and 90.00°. Symmetry generates all atoms from Li at (0.0000, 0.5000, 0.0000), Cd at (0.0000, 0.0000, 0.5000), H at (0.0000, 0.0000, 0.0000) and Au at (0.5000, 0.5000, 0.5000).

The calculated volume comes out at 14.12 Å³/atom.

<Q>
Li2CdHAu: relaxed, PBE.

The structure belongs to space group P4/mmm (No. 123); the cell edges are 4.3510, 4.3510 and 3.7146 Å and the angles 90.00°, 90.00° and 90.00°. Symmetry generates all atoms from Li at (0.0000, 0.5000, 0.0000), Cd at (0.0000, 0.0000, 0.5000), H at (0.5000, 0.5000, 0.0000) and Au at (0.5000, 0.5000, 0.5000).

The calculated volume comes out at 14.06 Å³/atom.

It comes down to <Q>, which is 25 meV/atom more stable than the next structure.

<P>
CdHPd2Au: relaxed, PBE.

The structure belongs to space group P4/mmm (No. 123); the cell edges are 4.1585, 4.1585 and 4.0734 Å and the angles 90.00°, 90.00° and 90.00°. Symmetry generates all atoms from Cd at (0.0000, 0.0000, 0.0000), H at (0.5000, 0.5000, 0.5000), Pd at (0.0000, 0.5000, 0.5000) and Au at (0.5000, 0.5000, 0.0000).

The calculated volume comes out at 14.09 Å³/atom.

<Q>
CdHPd2Au: relaxed, PBE.

The structure belongs to space group P4/mmm (No. 123); the cell edges are 4.0383, 4.0383 and 4.3447 Å and the angles 90.00°, 90.00° and 90.00°. Symmetry generates all atoms from Cd at (0.0000, 0.0000, 0.0000), H at (0.0000, 0.0000, 0.5000), Pd at (0.0000, 0.5000, 0.5000) and Au at (0.5000, 0.5000, 0.0000).

The calculated volume comes out at 14.17 Å³/atom.

It comes down to <P>, which is 61 meV/atom more stable than the next structure.